Version i
Density functional theory data (PBE) for crystalline LuInCoAu at its relaxed geometry. Values from VASP.

Structure (Quantum ESPRESSO input):
```
&SYSTEM
  ibrav = 0, nat = 4, ntyp = 4
/
ATOMIC_SPECIES
Lu 174.97 Lu.upf
In 114.82 In.upf
Co 58.93 Co.upf
Au 196.97 Au.upf
CELL_PARAMETERS angstrom
0.000 3.347 3.347
3.347 0.000 3.347
3.347 3.347 0.000
ATOMIC_POSITIONS angstrom
Lu 0.000 0.000 0.000
In 3.347 3.347 3.347
Co 5.021 5.021 5.021
Au 1.674 1.674 1.674
```

Version ii
Density functional theory data (PBE) for crystalline LuInCoAu at its relaxed geometry. Values from VASP.

Structure (Quantum ESPRESSO input):
```
&SYSTEM
  ibrav = 0, nat = 4, ntyp = 4
/
ATOMIC_SPECIES
Lu 174.97 Lu.upf
In 114.82 In.upf
Co 58.93 Co.upf
Au 196.97 Au.upf
CELL_PARAMETERS angstrom
0.000 3.344 3.344
3.344 0.000 3.344
3.344 3.344 0.000
ATOMIC_POSITIONS angstrom
Lu 0.000 0.000 0.000
In 1.672 1.672 1.672
Co 3.344 3.344 3.344
Au 5.016 5.016 5.016
```

In order of decreasing stability: version i, version ii.